Record 1
# Mg2MnW

A relaxed structure of Mg2MnW (PBE, the Alexandria database).

Lattice parameters (Å, degrees): 5.291 5.291 5.291 145.18 126.72 65.24
Last column: magnetic moment on the atom in μB.
Atoms (fractional coordinates):
Mg 0.007 0.007 0.000  0.00
Mg 0.729 0.229 0.500  0.00
Mn 0.476 0.476 0.000  0.44
W 0.288 0.788 0.500  -0.14

## Properties
* energy of formation: 0.4076 eV per atom
* size of the total moment: 0.3 μB per formula unit
* D(E_F): 2.60 states/eV/f.u.
* total DFT energy (no corrections): -5.92 eV/atom

***

Record 2
# MgMnW

A relaxed structure of MgMnW (PBE, the Alexandria database).

Lattice parameters (Å, degrees): 4.368 4.368 2.720 90.00 90.00 120.00
Last column: magnetic moment on the atom in μB.
Atoms (fractional coordinates):
Mg 0.000 0.000 0.027  -0.01
Mn 0.333 0.667 0.367  1.67
W 0.667 0.333 0.606  -0.39

## Properties
* energy of formation: 0.3650 eV per atom
* size of the total moment: 1.2 μB per formula unit
* D(E_F): 2.55 states/eV/f.u.
* total DFT energy (no corrections): -7.54 eV/atom

***

Record 3
# MgMnW2

A relaxed structure of MgMnW2 (PBE, the Alexandria database).

Lattice parameters (Å, degrees): 4.771 4.771 5.180 85.74 85.74 32.56
Last column: magnetic moment on the atom in μB.
Atoms (fractional coordinates):
Mg 0.503 0.503 0.490  -0.01
Mn 0.253 0.253 0.257  2.71
W 0.994 0.994 0.997  -0.05
W 0.750 0.750 0.756  -0.07

## Properties
* energy of formation: 0.4532 eV per atom
* size of the total moment: 2.6 μB per formula unit
* D(E_F): 3.95 states/eV/f.u.
* total DFT energy (no corrections): -8.71 eV/atom

***

Record 4
# MgMn2W

A relaxed structure of MgMn2W (PBE, the Alexandria database).

Lattice parameters (Å, degrees): 5.012 5.012 5.012 137.47 137.47 61.72
Last column: magnetic moment on the atom in μB.
Atoms (fractional coordinates):
Mg 0.750 0.250 0.500  -0.03
Mn 0.000 0.000 0.000  1.43
Mn 0.250 0.750 0.500  2.65
W 0.500 0.500 0.000  -0.59

## Properties
* energy of formation: 0.3883 eV per atom
* size of the total moment: 3.4 μB per formula unit
* D(E_F): 3.54 states/eV/f.u.
* total DFT energy (no corrections): -7.83 eV/atom

***

Record 5
# MgMnW2

A relaxed structure of MgMnW2 (PBE, the Alexandria database).

Lattice parameters (Å, degrees): 4.414 2.699 5.266 77.94 90.00 90.00
Last column: magnetic moment on the atom in μB.
Atoms (fractional coordinates):
Mg 0.500 0.250 0.250  -0.01
Mn 0.500 0.750 0.750  1.91
W 0.000 0.987 0.992  -0.17
W 0.000 0.513 0.508  -0.17

## Properties
* energy of formation: 0.3571 eV per atom
* size of the total moment: 1.5 μB per formula unit
* D(E_F): 3.05 states/eV/f.u.
* total DFT energy (no corrections): -8.81 eV/atom

***

Record 6
# Mg2MnW

A relaxed structure of Mg2MnW (PBE, the Alexandria database).

Lattice parameters (Å, degrees): 5.251 5.437 2.720 81.44 77.88 115.49
Last column: magnetic moment on the atom in μB.
Atoms (fractional coordinates):
Mg 0.000 0.000 0.000  -0.02
Mg 0.500 0.000 0.500  -0.02
Mn 0.000 0.500 0.500  2.80
W 0.500 0.500 0.000  -0.25

## Properties
* energy of formation: 0.4415 eV per atom
* size of the total moment: 2.5 μB per formula unit
* D(E_F): 3.12 states/eV/f.u.
* total DFT energy (no corrections): -5.89 eV/atom

***

Record 7
# MgMnW

A relaxed structure of MgMnW (PBE, the Alexandria database).

Lattice parameters (Å, degrees): 4.176 4.176 4.176 60.00 60.00 60.00
Last column: magnetic moment on the atom in μB.
Atoms (fractional coordinates):
Mg 0.500 0.500 0.500  0.01
Mn 0.750 0.750 0.750  1.48
W 0.000 0.000 0.000  -0.56

## Properties
* energy of formation: 0.8478 eV per atom
* size of the total moment: 0.9 μB per formula unit
* D(E_F): 3.06 states/eV/f.u.
* total DFT energy (no corrections): -7.06 eV/atom

***

Record 8
# MgMn2W

A relaxed structure of MgMn2W (PBE, the Alexandria database).

Lattice parameters (Å, degrees): 8.910 8.910 8.910 18.62 18.62 18.62
Last column: magnetic moment on the atom in μB.
Atoms (fractional coordinates):
Mg 0.750 0.750 0.750  -0.02
Mn 0.994 0.994 0.994  2.75
Mn 0.506 0.506 0.506  2.75
W 0.250 0.250 0.250  -0.41

## Properties
* energy of formation: 0.4122 eV per atom
* size of the total moment: 5.2 μB per formula unit
* D(E_F): 4.45 states/eV/f.u.
* total DFT energy (no corrections): -7.81 eV/atom

***

Record 9
# Mg2MnW

A relaxed structure of Mg2MnW (PBE, the Alexandria database).

Lattice parameters (Å, degrees): 4.696 2.725 5.243 77.36 90.00 90.00
Last column: magnetic moment on the atom in μB.
Atoms (fractional coordinates):
Mg 0.000 0.045 0.003  -0.02
Mg 0.000 0.455 0.497  -0.02
Mn 0.500 0.250 0.250  2.65
W 0.500 0.750 0.750  -0.35

## Properties
* energy of formation: 0.4404 eV per atom
* size of the total moment: 2.1 μB per formula unit
* D(E_F): 3.32 states/eV/f.u.
* total DFT energy (no corrections): -5.89 eV/atom

***

Record 10
# MgMn2W

A relaxed structure of MgMn2W (PBE, the Alexandria database).

Lattice parameters (Å, degrees): 4.594 4.594 5.249 85.66 85.66 34.13
Last column: magnetic moment on the atom in μB.
Atoms (fractional coordinates):
Mg 0.750 0.750 0.750  -0.01
Mn 0.999 0.999 0.027  2.89
Mn 0.501 0.501 0.473  2.89
W 0.250 0.250 0.250  -0.36

## Properties
* energy of formation: 0.4221 eV per atom
* size of the total moment: 5.5 μB per formula unit
* D(E_F): 2.75 states/eV/f.u.
* total DFT energy (no corrections): -7.80 eV/atom

***

Record 11
# MgMnW2

A relaxed structure of MgMnW2 (PBE, the Alexandria database).

Lattice parameters (Å, degrees): 5.173 5.173 5.173 145.93 128.05 63.60
Atoms (fractional coordinates):
Mg 0.486 0.486 0.000
Mn 0.235 0.735 0.500
W 0.016 0.016 0.000
W 0.763 0.263 0.500

## Properties
* energy of formation: 0.4067 eV per atom
* size of the total moment: 0.0 μB per formula unit
* D(E_F): 3.15 states/eV/f.u.
* total DFT energy (no corrections): -8.76 eV/atom

***

Record 12
# MgMnW2

A relaxed structure of MgMnW2 (PBE, the Alexandria database).

Lattice parameters (Å, degrees): 5.247 5.247 4.443 64.96 64.96 33.72
Last column: magnetic moment on the atom in μB.
Atoms (fractional coordinates):
Mg 0.750 0.750 0.750  -0.01
Mn 0.250 0.250 0.250  1.23
W 0.982 0.982 0.018  -0.13
W 0.518 0.518 0.482  -0.13

## Properties
* energy of formation: 0.2810 eV per atom
* size of the total moment: 0.9 μB per formula unit
* D(E_F): 1.79 states/eV/f.u.
* total DFT energy (no corrections): -8.89 eV/atom

***

Record 13
# Mg2MnW

A relaxed structure of Mg2MnW (PBE, the Alexandria database).

Lattice parameters (Å, degrees): 2.776 2.776 8.899 90.00 90.00 90.00
Last column: magnetic moment on the atom in μB.
Atoms (fractional coordinates):
Mg 0.000 0.000 0.002  -0.02
Mg 0.000 0.000 0.498  -0.02
Mn 0.500 0.500 0.250  3.48
W 0.500 0.500 0.750  0.04

## Properties
* energy of formation: 0.4165 eV per atom
* size of the total moment: 3.6 μB per formula unit
* D(E_F): 3.39 states/eV/f.u.
* total DFT energy (no corrections): -5.91 eV/atom

***

Record 14
# MgMnW2

A relaxed structure of MgMnW2 (PBE, the Alexandria database).

Lattice parameters (Å, degrees): 2.672 4.208 5.669 90.00 90.00 90.00
Last column: magnetic moment on the atom in μB.
Atoms (fractional coordinates):
Mg 0.000 0.000 0.512  -0.02
Mn 0.500 0.500 0.747  2.77
W 0.000 0.000 0.002  -0.14
W 0.500 0.500 0.240  -0.12

## Properties
* energy of formation: 0.4485 eV per atom
* size of the total moment: 2.5 μB per formula unit
* D(E_F): 2.94 states/eV/f.u.
* total DFT energy (no corrections): -8.72 eV/atom

***

Record 15
# Mg6MnW

A relaxed structure of Mg6MnW (PBE, the Alexandria database).

Lattice parameters (Å, degrees): 6.162 6.162 4.877 90.00 90.00 123.74
Last column: magnetic moment on the atom in μB.
Atoms (fractional coordinates):
Mg 0.825 0.674 0.500  -0.01
Mg 0.326 0.175 0.500  -0.01
Mg 0.658 0.828 0.000  -0.01
Mg 0.172 0.342 0.000  -0.01
Mg 0.684 0.316 0.000  -0.02
Mg 0.178 0.822 0.000  0.01
Mn 0.832 0.168 0.500  3.48
W 0.324 0.676 0.500  -0.81

## Properties
* energy of formation: 0.3541 eV per atom
* size of the total moment: 2.5 μB per formula unit
* D(E_F): 5.13 states/eV/f.u.
* total DFT energy (no corrections): -3.61 eV/atom